Entry 1:
A plane-wave DFT calculation with PBE-GGA was carried out for NiN2 after structural relaxation.

CIF file:
```
data_NiN2
_chemical_formula_sum 'Ni2 N4'
_cell_length_a 4.1311
_cell_length_b 4.1311
_cell_length_c 4.1311
_cell_angle_alpha 60.00
_cell_angle_beta 60.00
_cell_angle_gamma 60.00
_space_group_name_H-M_alt 'P 1'
_space_group_IT_number 1
loop_
_space_group_symop_operation_xyz
'x,y,z'
loop_
_atom_site_label
_atom_site_fract_x
_atom_site_fract_y
_atom_site_fract_z
_atom_site_occupancy
Ni1 0.0000 0.0000 0.0000 1
N1 0.1250 0.6250 0.6250 1
N2 0.6250 0.1250 0.6250 1
N3 0.6250 0.6250 0.6250 1
N4 0.6250 0.6250 0.1250 1
Ni2 0.2500 0.2500 0.2500 1
```

Calculated values
The calculation puts the total energy at -4.766 eV/atom. The calculation puts the volume at 49.85 Å³ per cell. The value obtained for the size of the total moment is 2.2 μB per cell.



Entry 2:
A plane-wave DFT calculation with PBE-GGA was carried out for NiN after structural relaxation.

CIF file:
```
data_NiN
_chemical_formula_sum 'Ni1 N1'
_cell_length_a 2.7585
_cell_length_b 2.7585
_cell_length_c 2.5754
_cell_angle_alpha 90.00
_cell_angle_beta 90.00
_cell_angle_gamma 120.00
_space_group_name_H-M_alt 'P 1'
_space_group_IT_number 1
loop_
_space_group_symop_operation_xyz
'x,y,z'
loop_
_atom_site_label
_atom_site_fract_x
_atom_site_fract_y
_atom_site_fract_z
_atom_site_occupancy
N1 0.6667 0.3333 0.7500 1
Ni1 0.3333 0.6667 0.2500 1
```

Calculated values
The calculation puts the total energy at -6.165 eV/atom. The calculation puts the volume at 16.97 Å³ per cell. The value obtained for the size of the total moment is 0.1 μB per cell. For the relative energy among the computed polymorphs, the calculation gives 0.3310 eV per atom.



Entry 3:
A plane-wave DFT calculation with PBE-GGA was carried out for NiN after structural relaxation.

CIF file:
```
data_NiN
_chemical_formula_sum 'Ni2 N2'
_cell_length_a 3.0087
_cell_length_b 3.0087
_cell_length_c 5.1078
_cell_angle_alpha 90.00
_cell_angle_beta 90.00
_cell_angle_gamma 120.00
_space_group_name_H-M_alt 'P 1'
_space_group_IT_number 1
loop_
_space_group_symop_operation_xyz
'x,y,z'
loop_
_atom_site_label
_atom_site_fract_x
_atom_site_fract_y
_atom_site_fract_z
_atom_site_occupancy
Ni1 0.3333 0.6667 0.8715 1
N1 0.3333 0.6667 0.5035 1
Ni2 0.0000 0.0000 0.3715 1
N2 0.0000 0.0000 0.0035 1
```

Calculated values
The calculation puts the total energy at -6.479 eV/atom. The calculation puts the volume at 40.04 Å³ per cell. The value obtained for the size of the total moment is 0.0 μB per cell. For the relative energy among the computed polymorphs, the calculation gives 0.0168 eV per atom.



Entry 4:
A plane-wave DFT calculation with PBE-GGA was carried out for Ni2N after structural relaxation.

CIF file:
```
data_Ni2N
_chemical_formula_sum 'Ni2 N1'
_cell_length_a 2.8041
_cell_length_b 2.8041
_cell_length_c 3.6442
_cell_angle_alpha 90.00
_cell_angle_beta 90.00
_cell_angle_gamma 90.00
_space_group_name_H-M_alt 'P 1'
_space_group_IT_number 1
loop_
_space_group_symop_operation_xyz
'x,y,z'
loop_
_atom_site_label
_atom_site_fract_x
_atom_site_fract_y
_atom_site_fract_z
_atom_site_occupancy
Ni1 0.0000 0.0000 0.0000 1
Ni2 0.5000 0.5000 0.5000 1
N1 0.5000 0.5000 0.0000 1
```

Calculated values
The calculation puts the total energy at -6.325 eV/atom. The calculation puts the volume at 28.65 Å³ per cell. The value obtained for the size of the total moment is 0.0 μB per cell.



Entry 5:
A plane-wave DFT calculation with PBE-GGA was carried out for Sr2NiOsN6 after structural relaxation.

CIF file:
```
data_Sr2NiOsN6
_chemical_formula_sum 'Sr2 Ni1 Os1 N6'
_cell_length_a 5.4962
_cell_length_b 5.5083
_cell_length_c 5.5098
_cell_angle_alpha 60.27
_cell_angle_beta 60.17
_cell_angle_gamma 60.15
_space_group_name_H-M_alt 'P 1'
_space_group_IT_number 1
loop_
_space_group_symop_operation_xyz
'x,y,z'
loop_
_atom_site_label
_atom_site_fract_x
_atom_site_fract_y
_atom_site_fract_z
_atom_site_occupancy
N1 0.7557 0.7444 0.2436 1
N2 0.7495 0.7616 0.7389 1
N3 0.2575 0.7433 0.2466 1
N4 0.2505 0.2384 0.2611 1
N5 0.7425 0.2567 0.7534 1
Ni1 0.5000 0.0000 0.0000 1
Os1 0.0000 0.5000 0.5000 1
Sr1 0.7509 0.2478 0.2497 1
N6 0.2443 0.2556 0.7564 1
Sr2 0.2491 0.7522 0.7503 1
```

Calculated values
The calculation puts the total energy at -6.591 eV/atom. The calculation puts the volume at 118.47 Å³ per cell. The value obtained for the size of the total moment is 0.6 μB per cell.



Entry 6:
A plane-wave DFT calculation with PBE-GGA was carried out for Sc4NiPN2 after structural relaxation.

CIF file:
```
data_Sc4NiPN2
_chemical_formula_sum 'Sc4 Ni1 P1 N2'
_cell_length_a 3.2749
_cell_length_b 3.2749
_cell_length_c 12.4366
_cell_angle_alpha 90.00
_cell_angle_beta 90.00
_cell_angle_gamma 120.00
_space_group_name_H-M_alt 'P 1'
_space_group_IT_number 1
loop_
_space_group_symop_operation_xyz
'x,y,z'
loop_
_atom_site_label
_atom_site_fract_x
_atom_site_fract_y
_atom_site_fract_z
_atom_site_occupancy
Sc1 0.0000 0.0000 0.3489 1
N1 0.3333 0.6667 0.7543 1
P1 0.0000 0.0000 0.0000 1
N2 0.3333 0.6667 0.2457 1
Ni1 0.6667 0.3333 0.5000 1
Sc2 0.6667 0.3333 0.1482 1
Sc3 0.0000 0.0000 0.6511 1
Sc4 0.6667 0.3333 0.8518 1
```

Calculated values
The calculation puts the total energy at -7.839 eV/atom. The calculation puts the volume at 115.51 Å³ per cell. The value obtained for the size of the total moment is 0.9 μB per cell.



Entry 7:
A plane-wave DFT calculation with PBE-GGA was carried out for Sc4NiPN2 after structural relaxation.

CIF file:
```
data_Sc4NiPN2
_chemical_formula_sum 'Sc4 Ni1 P1 N2'
_cell_length_a 3.2727
_cell_length_b 3.2727
_cell_length_c 12.4507
_cell_angle_alpha 90.00
_cell_angle_beta 90.00
_cell_angle_gamma 120.00
_space_group_name_H-M_alt 'P 1'
_space_group_IT_number 1
loop_
_space_group_symop_operation_xyz
'x,y,z'
loop_
_atom_site_label
_atom_site_fract_x
_atom_site_fract_y
_atom_site_fract_z
_atom_site_occupancy
N1 0.3333 0.6667 0.7459 1
P1 0.6667 0.3333 0.5000 1
Ni1 0.0000 0.0000 0.0000 1
Sc1 0.0000 0.0000 0.3512 1
Sc2 0.6667 0.3333 0.1510 1
Sc3 0.0000 0.0000 0.6488 1
N2 0.3333 0.6667 0.2541 1
Sc4 0.6667 0.3333 0.8490 1
```

Calculated values
The calculation puts the total energy at -7.839 eV/atom. The calculation puts the volume at 115.49 Å³ per cell. The value obtained for the size of the total moment is 0.9 μB per cell.



Entry 8:
A plane-wave DFT calculation with PBE-GGA was carried out for Y4NiPN2 after structural relaxation.

CIF file:
```
data_Y4NiPN2
_chemical_formula_sum 'Y4 Ni1 P1 N2'
_cell_length_a 3.6362
_cell_length_b 3.6362
_cell_length_c 12.8650
_cell_angle_alpha 90.00
_cell_angle_beta 90.00
_cell_angle_gamma 120.00
_space_group_name_H-M_alt 'P 1'
_space_group_IT_number 1
loop_
_space_group_symop_operation_xyz
'x,y,z'
loop_
_atom_site_label
_atom_site_fract_x
_atom_site_fract_y
_atom_site_fract_z
_atom_site_occupancy
Y1 0.6667 0.3333 0.1469 1
P1 0.6667 0.3333 0.5000 1
Ni1 0.0000 0.0000 0.0000 1
Y2 0.6667 0.3333 0.8531 1
N1 0.3333 0.6667 0.2503 1
N2 0.3333 0.6667 0.7497 1
Y3 0.0000 0.0000 0.6419 1
Y4 0.0000 0.0000 0.3581 1
```

Calculated values
The calculation puts the total energy at -7.790 eV/atom. The calculation puts the volume at 147.31 Å³ per cell. The value obtained for the size of the total moment is 0.0 μB per cell.



Entry 9:
A plane-wave DFT calculation with PBE-GGA was carried out for Zr4NiPN2 after structural relaxation.

CIF file:
```
data_Zr4NiPN2
_chemical_formula_sum 'Zr4 Ni1 P1 N2'
_cell_length_a 3.3426
_cell_length_b 3.3426
_cell_length_c 12.5000
_cell_angle_alpha 90.00
_cell_angle_beta 90.00
_cell_angle_gamma 120.00
_space_group_name_H-M_alt 'P 1'
_space_group_IT_number 1
loop_
_space_group_symop_operation_xyz
'x,y,z'
loop_
_atom_site_label
_atom_site_fract_x
_atom_site_fract_y
_atom_site_fract_z
_atom_site_occupancy
N1 0.3333 0.6667 0.2520 1
N2 0.3333 0.6667 0.7480 1
Zr1 0.6667 0.3333 0.8491 1
P1 0.6667 0.3333 0.5000 1
Zr2 0.0000 0.0000 0.6440 1
Zr3 0.0000 0.0000 0.3560 1
Zr4 0.6667 0.3333 0.1509 1
Ni1 0.0000 0.0000 0.0000 1
```

Calculated values
The calculation puts the total energy at -8.882 eV/atom. The calculation puts the volume at 120.95 Å³ per cell. The value obtained for the size of the total moment is 0.0 μB per cell.



Entry 10:
A plane-wave DFT calculation with PBE-GGA was carried out for NiPbW4N2 after structural relaxation.

CIF file:
```
data_NiPbW4N2
_chemical_formula_sum 'Ni1 Pb1 W4 N2'
_cell_length_a 2.8916
_cell_length_b 2.8916
_cell_length_c 15.5485
_cell_angle_alpha 90.00
_cell_angle_beta 90.00
_cell_angle_gamma 120.00
_space_group_name_H-M_alt 'P 1'
_space_group_IT_number 1
loop_
_space_group_symop_operation_xyz
'x,y,z'
loop_
_atom_site_label
_atom_site_fract_x
_atom_site_fract_y
_atom_site_fract_z
_atom_site_occupancy
Pb1 0.3333 0.6667 0.5000 1
Ni1 0.0000 0.0000 0.0000 1
W1 0.3333 0.6667 0.1345 1
W2 0.0000 0.0000 0.6855 1
N1 0.6667 0.3333 0.2265 1
N2 0.6667 0.3333 0.7735 1
W3 0.0000 0.0000 0.3145 1
W4 0.3333 0.6667 0.8655 1
```

Calculated values
The calculation puts the total energy at -9.259 eV/atom. The calculation puts the volume at 112.59 Å³ per cell. The value obtained for the size of the total moment is 0.0 μB per cell.



Entry 11:
A plane-wave DFT calculation with PBE-GGA was carried out for Zr4NiPbN2 after structural relaxation.

CIF file:
```
data_Zr4NiPbN2
_chemical_formula_sum 'Zr4 Ni1 Pb1 N2'
_cell_length_a 3.3032
_cell_length_b 3.3032
_cell_length_c 13.9717
_cell_angle_alpha 90.00
_cell_angle_beta 90.00
_cell_angle_gamma 120.00
_space_group_name_H-M_alt 'P 1'
_space_group_IT_number 1
loop_
_space_group_symop_operation_xyz
'x,y,z'
loop_
_atom_site_label
_atom_site_fract_x
_atom_site_fract_y
_atom_site_fract_z
_atom_site_occupancy
N1 0.3333 0.6667 0.2294 1
N2 0.3333 0.6667 0.7706 1
Zr1 0.6667 0.3333 0.8630 1
Zr2 0.6667 0.3333 0.1370 1
Pb1 0.6667 0.3333 0.5000 1
Zr3 0.0000 0.0000 0.3217 1
Ni1 0.0000 0.0000 0.0000 1
Zr4 0.0000 0.0000 0.6783 1
```

Calculated values
The calculation puts the total energy at -8.433 eV/atom. The calculation puts the volume at 132.02 Å³ per cell. The value obtained for the size of the total moment is 0.0 μB per cell.



Entry 12:
A plane-wave DFT calculation with PBE-GGA was carried out for Zr3Ni2Pd2N4 after structural relaxation.

CIF file:
```
data_Zr3Ni2Pd2N4
_chemical_formula_sum 'Zr3 Ni2 Pd2 N4'
_cell_length_a 6.0255
_cell_length_b 3.1166
_cell_length_c 8.0584
_cell_angle_alpha 90.00
_cell_angle_beta 97.31
_cell_angle_gamma 90.00
_space_group_name_H-M_alt 'P 1'
_space_group_IT_number 1
loop_
_space_group_symop_operation_xyz
'x,y,z'
loop_
_atom_site_label
_atom_site_fract_x
_atom_site_fract_y
_atom_site_fract_z
_atom_site_occupancy
N1 0.2040 0.0000 0.1418 1
N2 0.7202 0.5000 0.9055 1
Ni1 0.5880 0.0000 0.0042 1
Pd1 0.1457 0.0000 0.4996 1
N3 0.4306 0.5000 0.5457 1
Zr1 0.4548 0.5000 0.2876 1
Zr2 0.9192 0.5000 0.1572 1
Zr3 0.5879 0.0000 0.6940 1
N4 0.7082 0.0000 0.2573 1
Ni2 0.2646 0.5000 0.9799 1
Pd2 0.9748 0.5000 0.7245 1
```

Calculated values
The calculation puts the total energy at -7.836 eV/atom. The calculation puts the volume at 150.10 Å³ per cell. The value obtained for the size of the total moment is 0.2 μB per cell.



Look up the size of the total moment of the third one.
0.0 μB per cell



What is the formula in the eighth record?
Y4NiPN2



size of the total moment of number 2 (NiN)?
0.1 μB per cell